Entry 1:
# Ca2IrPb, optimized geometry, DFT PBE
data_Ca2IrPb
_chemical_formula_sum 'Ca8 Ir4 Pb4'
_space_group_name_H-M_alt 'I -4 2 d'
_space_group_IT_number 122
_space_group_name_Hall 'I -4 2bw'
_cell_length_a 10.2893
_cell_length_b 10.2893
_cell_length_c 5.2433
_cell_angle_alpha 90.00
_cell_angle_beta 90.00
_cell_angle_gamma 90.00
loop_
_atom_site_label
_atom_site_fract_x
_atom_site_fract_y
_atom_site_fract_z
_atom_site_occupancy
Ca1 0.0931 0.2500 0.1250 1
Ir1 0.0000 0.0000 0.0000 1
Pb1 0.0000 0.0000 0.5000 1
# - formation enthalpy at 0 K (eV/atom) = -0.16
# - calculated volume (Å³/cell) = 555

***

Entry 2:
# Sn4PdRh2, optimized geometry, DFT PBE
data_Sn4PdRh2
_chemical_formula_sum 'Sn8 Pd2 Rh4'
_space_group_name_H-M_alt 'C 1 2/m 1'
_space_group_IT_number 12
_cell_length_a 13.5793
_cell_length_b 3.6300
_cell_length_c 6.6021
_cell_angle_alpha 90.00
_cell_angle_beta 116.76
_cell_angle_gamma 90.00
loop_
_space_group_symop_operation_xyz
'x,y,z'
'-x,-y,-z'
'-x,y,-z'
'x,-y,z'
'x+1/2,y+1/2,z'
'-x+1/2,-y+1/2,-z'
'-x+1/2,y+1/2,-z'
'x+1/2,-y+1/2,z'
loop_
_atom_site_label
_atom_site_fract_x
_atom_site_fract_y
_atom_site_fract_z
_atom_site_occupancy
Sn1 0.1006 0.0000 0.4682 1
Sn2 0.1447 0.5000 0.9644 1
Pd1 0.0000 0.0000 0.0000 1
Rh1 0.2478 0.0000 0.2996 1
# - formation enthalpy at 0 K (eV/atom) = -0.43
# - calculated volume (Å³/cell) = 291

***

Entry 3:
# Er5Cu4Pt, optimized geometry, DFT PBE
data_Er5Cu4Pt
_chemical_formula_sum 'Er5 Cu4 Pt1'
_space_group_name_H-M_alt 'P 4/m m m'
_space_group_IT_number 123
_space_group_name_Hall '-P 4 2'
_cell_length_a 3.4242
_cell_length_b 3.4242
_cell_length_c 17.4302
_cell_angle_alpha 90.00
_cell_angle_beta 90.00
_cell_angle_gamma 90.00
loop_
_atom_site_label
_atom_site_fract_x
_atom_site_fract_y
_atom_site_fract_z
_atom_site_occupancy
Er1 0.0000 0.0000 0.0000 1
Er2 0.0000 0.0000 0.1999 1
Er3 0.0000 0.0000 0.4005 1
Cu1 0.5000 0.5000 0.0994 1
Cu2 0.5000 0.5000 0.2980 1
Pt1 0.5000 0.5000 0.5000 1
# - formation enthalpy at 0 K (eV/atom) = -0.48
# - calculated volume (Å³/cell) = 204